Entry 1:
CeSmSc2Bi4 (GGA-PBE, optimized geometry); volume = 245 Å³ per cell; energy = -5.607 eV per atom; M_tot = 0.10 μB/atom; symmetry = P2/m, No. 10
1.0
7.631 0.000 0.000
0.000 4.432 0.000
-2.567 0.000 7.240
Ce Sm Sc Bi
1 1 2 4
Direct
0.000 0.000 0.000 Ce
0.000 0.500 0.500 Sm
0.500 0.000 0.500 Sc
0.500 0.500 0.000 Sc
0.270 0.000 0.757 Bi
0.271 0.500 0.257 Bi
0.729 0.500 0.743 Bi
0.730 0.000 0.243 Bi

Entry 2:
TcP2Se (GGA-PBE, optimized geometry); volume = 69 Å³ per cell; energy relative to the elements, uncorrected = 0.0400 eV/atom; M_tot = 0.00 μB/atom; symmetry = P4/mmm, No. 123
1.0
2.925 0.000 0.000
0.000 2.925 0.000
0.000 0.000 8.091
Tc P Se
1 2 1
Direct
0.000 0.000 0.000 Tc
0.500 0.500 0.175 P
0.500 0.500 0.825 P
0.000 0.000 0.500 Se

Entry 3:
DyHo5Tm6 (GGA-PBE, optimized geometry); volume = 363 Å³ per cell; energy = -4.503 eV per atom; M_tot = 0.00 μB/atom; symmetry = C2/m, No. 12
1.0
3.033 -5.246 0.000
3.033 5.246 0.000
-2.015 0.000 11.416
Dy Ho Tm
1 5 6
Direct
0.000 0.000 0.000 Dy
0.167 0.833 0.500 Ho
0.333 0.667 0.000 Ho
0.500 0.500 0.500 Ho
0.667 0.333 0.000 Ho
0.833 0.167 0.500 Ho
0.083 0.416 0.250 Tm
0.250 0.250 0.750 Tm
0.416 0.083 0.250 Tm
0.584 0.917 0.750 Tm
0.750 0.750 0.250 Tm
0.917 0.584 0.750 Tm

Entry 4:
AlCrRh2 (GGA-PBE, optimized geometry); volume = 55 Å³ per cell; energy = -7.310 eV per atom; M_tot = 0.22 μB/atom; symmetry = R-3m, No. 166
1.0
1.386 0.800 8.206
-1.386 0.800 8.206
0.000 -1.600 8.206
Al Cr Rh
1 1 2
Direct
0.000 0.000 0.000 Al
0.500 0.500 0.500 Cr
0.250 0.250 0.250 Rh
0.750 0.750 0.750 Rh

Entry 5:
BaNi2Te (GGA-PBE, optimized geometry); volume = 101 Å³ per cell; energy relative to the elements, uncorrected = -0.3378 eV/atom; M_tot = 0.00 μB/atom; symmetry = Pm, No. 6
1.0
4.710 0.000 0.000
0.000 4.380 0.000
-0.870 0.000 4.902
Ba Ni Te
1 2 1
Direct
0.000 0.000 0.000 Ba
0.568 0.000 0.465 Ni
0.819 0.500 0.434 Ni
0.342 0.500 0.568 Te

Entry 6:
Hg8Bi3H2 (GGA-PBE, optimized geometry); volume = 348 Å³ per cell; energy = -1.433 eV per atom; M_tot = 0.00 μB/atom; symmetry = P-1, No. 2
1.0
3.202 0.000 0.000
-0.291 8.963 0.000
-1.383 -4.405 12.130
Hg Bi H
8 3 2
Direct
0.061 0.336 0.175 Hg
0.084 0.917 0.082 Hg
0.155 0.110 0.375 Hg
0.235 0.604 0.448 Hg
0.765 0.396 0.552 Hg
0.845 0.890 0.625 Hg
0.916 0.083 0.918 Hg
0.939 0.664 0.825 Hg
0.000 0.500 0.000 Bi
0.153 0.752 0.265 Bi
0.847 0.248 0.735 Bi
0.093 0.259 0.290 H
0.907 0.741 0.710 H

Entry 7:
La2CoN2 (GGA-PBE, optimized geometry); volume = 160 Å³ per cell; energy relative to the elements, uncorrected = -0.4901 eV/atom; M_tot = 0.00 μB/atom; symmetry = P4/mbm, No. 127
1.0
6.755 0.000 0.000
0.000 6.755 0.000
0.000 0.000 3.500
La Co N
4 2 4
Direct
0.159 0.341 0.000 La
0.341 0.841 0.000 La
0.659 0.159 0.000 La
0.841 0.659 0.000 La
0.000 0.000 0.500 Co
0.500 0.500 0.500 Co
0.167 0.667 0.500 N
0.333 0.167 0.500 N
0.667 0.833 0.500 N
0.833 0.333 0.500 N

Entry 8:
Al15Zn2Ga2 (GGA-PBE, optimized geometry); volume = 346 Å³ per cell; energy = -3.279 eV per atom; M_tot = 0.00 μB/atom; symmetry = R-3m, No. 166
1.0
4.606 2.659 4.703
-4.606 2.659 4.703
0.000 -5.319 4.703
Al Zn Ga
15 2 2
Direct
0.000 0.000 0.500 Al
0.000 0.311 0.689 Al
0.000 0.500 0.000 Al
0.000 0.689 0.311 Al
0.155 0.654 0.654 Al
0.311 0.000 0.689 Al
0.311 0.689 0.000 Al
0.346 0.346 0.845 Al
0.346 0.845 0.346 Al
0.500 0.000 0.000 Al
0.654 0.155 0.654 Al
0.654 0.654 0.155 Al
0.689 0.000 0.311 Al
0.689 0.311 0.000 Al
0.845 0.346 0.346 Al
0.099 0.099 0.099 Zn
0.901 0.901 0.901 Zn
0.383 0.383 0.383 Ga
0.617 0.617 0.617 Ga

Entry 9:
Ac3Er (GGA-PBE, optimized geometry); volume = 167 Å³ per cell; energy = -4.060 eV per atom; M_tot = 0.00 μB/atom; symmetry = Fm-3m, No. 225
1.0
0.000 4.370 4.370
4.370 0.000 4.370
4.370 4.370 0.000
Ac Er
3 1
Direct
0.000 0.000 0.000 Ac
0.250 0.250 0.250 Ac
0.750 0.750 0.750 Ac
0.500 0.500 0.500 Er

Entry 10:
Hf2SbS (GGA-PBE, optimized geometry); volume = 218 Å³ per cell; energy relative to the elements, uncorrected = -0.2834 eV/atom; M_tot = 0.00 μB/atom; symmetry = I-42d, No. 122
1.0
-2.774 2.774 7.091
2.774 -2.774 7.091
2.774 2.774 -7.091
Hf Sb S
4 2 2
Direct
0.053 0.625 0.928 Hf
0.375 0.303 0.428 Hf
0.697 0.125 0.072 Hf
0.875 0.947 0.572 Hf
0.250 0.750 0.500 Sb
0.500 0.500 0.000 Sb
0.000 0.000 0.000 S
0.750 0.250 0.500 S

Entry 11:
La8Pm2Y3 (GGA-PBE, optimized geometry); volume = 465 Å³ per cell; energy = -5.109 eV per atom; M_tot = 0.00 μB/atom; symmetry = C2/m, No. 12
1.0
6.727 -6.020 0.000
6.727 6.020 0.000
-2.281 0.000 5.740
La Pm Y
8 2 3
Direct
0.057 0.057 0.278 La
0.089 0.579 0.845 La
0.355 0.355 0.416 La
0.421 0.911 0.155 La
0.579 0.089 0.845 La
0.645 0.645 0.584 La
0.911 0.421 0.155 La
0.943 0.943 0.722 La
0.201 0.201 0.841 Pm
0.799 0.799 0.159 Pm
0.246 0.754 0.500 Y
0.500 0.500 0.000 Y
0.754 0.246 0.500 Y

Entry 12:
PmSm5Dy4 (GGA-PBE, optimized geometry); volume = 331 Å³ per cell; energy = -4.609 eV per atom; M_tot = 0.00 μB/atom; symmetry = P-1, No. 2
1.0
3.585 0.000 0.000
-1.607 6.583 0.000
-0.770 -2.560 14.047
Pm Sm Dy
1 5 4
Direct
0.000 0.000 0.000 Pm
0.200 0.879 0.586 Sm
0.493 0.423 0.617 Sm
0.500 0.500 0.000 Sm
0.507 0.577 0.383 Sm
0.800 0.121 0.414 Sm
0.121 0.812 0.212 Dy
0.198 0.727 0.806 Dy
0.802 0.273 0.194 Dy
0.879 0.188 0.788 Dy